1.
# Sc4FeGeC2

Crystalline Sc4FeGeC2 at its relaxed geometry (PBE-GGA, the Open Quantum Materials Database).

a = 3.274 Å, b = 3.274 Å, c = 13.942 Å
α = 90.00°, β = 90.00°, γ = 120.00°
Positions (direct):
Sc1 0.000 0.000 0.156
Sc2 0.000 0.000 0.844
Sc3 0.667 0.333 0.336
Sc4 0.667 0.333 0.664
Fe1 0.667 0.333 0.000
Ge1 0.000 0.000 0.500
C1 0.333 0.667 0.246
C2 0.333 0.667 0.754

Values from the calculation:
The total energy comes out at -59.5 eV per cell.

2.
# TcGePd2

Crystalline TcGePd2 at its relaxed geometry (PBE-GGA, the Open Quantum Materials Database).

a = 4.393 Å, b = 4.393 Å, c = 4.393 Å
α = 60.00°, β = 60.00°, γ = 60.00°
Positions (direct):
Tc1 0.000 0.000 0.000
Ge1 0.750 0.750 0.750
Pd1 0.250 0.250 0.250
Pd2 0.500 0.500 0.500

Values from the calculation:
The total energy comes out at -25.6 eV per cell.

- total energy of number 2 (TcGePd2)?
  -25.6 eV per cell